# LiBiS2 (GGA-PBE, relaxed)
data_LiBiS2
_chemical_formula_sum 'Li4 Bi4 S8'
_cell_length_a 5.574
_cell_length_b 5.584
_cell_length_c 11.276
_cell_angle_alpha 90.00
_cell_angle_beta 90.00
_cell_angle_gamma 90.00
_space_group_name_H-M_alt 'I m m a'
_space_group_IT_number 74
_space_group_name_Hall '-I 2b 2'
loop_
_atom_site_label
_atom_site_type_symbol
_atom_site_fract_x
_atom_site_fract_y
_atom_site_fract_z
_atom_site_occupancy
Li1 Li 0.000 0.250 0.125 1
Bi1 Bi 0.000 0.250 0.625 1
S1 S 0.000 0.250 0.374 1
S2 S 0.000 0.250 0.876 1
# - formation energy (no corrections) (eV per atom) = -0.725



# CaPaGePd (GGA-PBE, relaxed)
data_CaPaGePd
_chemical_formula_sum 'Ca4 Pa4 Ge4 Pd4'
_cell_length_a 7.112
_cell_length_b 7.112
_cell_length_c 7.112
_cell_angle_alpha 90.00
_cell_angle_beta 90.00
_cell_angle_gamma 90.00
_space_group_name_H-M_alt 'F -4 3 m'
_space_group_IT_number 216
_space_group_name_Hall 'F -4 2 3'
loop_
_atom_site_label
_atom_site_type_symbol
_atom_site_fract_x
_atom_site_fract_y
_atom_site_fract_z
_atom_site_occupancy
Ca1 Ca 0.000 0.000 0.000 1
Pa1 Pa 0.000 0.000 0.500 1
Ge1 Ge 0.250 0.250 0.250 1
Pd1 Pd 0.250 0.250 0.750 1
# - formation energy (eV/atom) = -0.402



# CaTaCo3 (GGA-PBE, relaxed)
data_CaTaCo3
_chemical_formula_sum 'Ca1 Ta1 Co3'
_cell_length_a 4.298
_cell_length_b 4.298
_cell_length_c 4.298
_cell_angle_alpha 90.00
_cell_angle_beta 90.00
_cell_angle_gamma 90.00
_space_group_name_H-M_alt 'P m -3 m'
_space_group_IT_number 221
_space_group_name_Hall '-P 4 2 3'
loop_
_atom_site_label
_atom_site_type_symbol
_atom_site_fract_x
_atom_site_fract_y
_atom_site_fract_z
_atom_site_occupancy
Ca1 Ca 0.000 0.000 0.000 1
Ta1 Ta 0.500 0.500 0.500 1
Co1 Co 0.000 0.000 0.500 1
# - formation energy (eV/atom) = 1.785



# RbBPb (GGA-PBE, relaxed)
data_RbBPb
_chemical_formula_sum 'Rb2 B2 Pb2'
_cell_length_a 4.608
_cell_length_b 4.608
_cell_length_c 8.429
_cell_angle_alpha 90.00
_cell_angle_beta 90.00
_cell_angle_gamma 90.00
_space_group_name_H-M_alt 'P 4/n m m'
_space_group_IT_number 129
loop_
_space_group_symop_operation_xyz
'x,y,z'
'-x,-y,-z'
'-y+1/2,x,z'
'y+1/2,-x,-z'
'-x+1/2,-y+1/2,z'
'x+1/2,y+1/2,-z'
'y,-x+1/2,z'
'-y,x+1/2,-z'
'x+1/2,-y,-z'
'-x+1/2,y,z'
'-y,-x,-z'
'y,x,z'
'-x,y+1/2,-z'
'x,-y+1/2,z'
'y+1/2,x+1/2,-z'
'-y+1/2,-x+1/2,z'
loop_
_atom_site_label
_atom_site_type_symbol
_atom_site_fract_x
_atom_site_fract_y
_atom_site_fract_z
_atom_site_occupancy
Rb1 Rb 0.250 0.250 0.186 1
B1 B 0.250 0.750 0.500 1
Pb1 Pb 0.250 0.250 0.636 1
# - formation energy (eV/atom) = 0.734



# Dy6GaS8 (GGA-PBE, relaxed)
data_Dy6GaS8
_chemical_formula_sum 'Dy24 Ga4 S32'
_cell_length_a 11.035
_cell_length_b 11.035
_cell_length_c 11.035
_cell_angle_alpha 90.00
_cell_angle_beta 90.00
_cell_angle_gamma 90.00
_space_group_name_H-M_alt 'F m -3 m'
_space_group_IT_number 225
_space_group_name_Hall '-F 4 2 3'
loop_
_atom_site_label
_atom_site_type_symbol
_atom_site_fract_x
_atom_site_fract_y
_atom_site_fract_z
_atom_site_occupancy
Dy1 Dy 0.000 0.250 0.250 1
Ga1 Ga 0.000 0.000 0.000 1
S1 S 0.000 0.000 0.250 1
S2 S 0.250 0.250 0.250 1
# - formation energy (no corrections) (eV per atom) = -1.834



# Th3MgPt12 (GGA-PBE, relaxed)
data_Th3MgPt12
_chemical_formula_sum 'Th3 Mg1 Pt12'
_cell_length_a 4.192
_cell_length_b 4.192
_cell_length_c 16.535
_cell_angle_alpha 90.00
_cell_angle_beta 90.00
_cell_angle_gamma 90.00
_space_group_name_H-M_alt 'P 4/m m m'
_space_group_IT_number 123
_space_group_name_Hall '-P 4 2'
loop_
_atom_site_label
_atom_site_type_symbol
_atom_site_fract_x
_atom_site_fract_y
_atom_site_fract_z
_atom_site_occupancy
Th1 Th 0.000 0.000 0.000 1
Th2 Th 0.000 0.000 0.261 1
Mg1 Mg 0.000 0.000 0.500 1
Pt1 Pt 0.000 0.500 0.129 1
Pt2 Pt 0.000 0.500 0.386 1
Pt3 Pt 0.500 0.500 0.000 1
Pt4 Pt 0.500 0.500 0.256 1
Pt5 Pt 0.500 0.500 0.500 1
# - formation energy (eV/atom) = -0.992



# BaNdTcN4 (GGA-PBE, relaxed)
data_BaNdTcN4
_chemical_formula_sum 'Ba2 Nd2 Tc2 N8'
_cell_length_a 6.093
_cell_length_b 5.924
_cell_length_c 7.503
_cell_angle_alpha 90.00
_cell_angle_beta 106.57
_cell_angle_gamma 90.00
_space_group_name_H-M_alt 'P 1 21/m 1'
_space_group_IT_number 11
loop_
_space_group_symop_operation_xyz
'x,y,z'
'-x,-y,-z'
'-x,y+1/2,-z'
'x,-y+1/2,z'
loop_
_atom_site_label
_atom_site_type_symbol
_atom_site_fract_x
_atom_site_fract_y
_atom_site_fract_z
_atom_site_occupancy
Ba1 Ba 0.217 0.250 0.426 1
Nd1 Nd 0.287 0.250 0.949 1
Tc1 Tc 0.254 0.750 0.173 1
N1 N 0.067 0.750 0.326 1
N2 N 0.069 0.750 0.939 1
N3 N 0.449 0.508 0.209 1
# - formation energy (no corrections) (eV per atom) = -0.737



# HoHg3Pb (GGA-PBE, relaxed)
data_HoHg3Pb
_chemical_formula_sum 'Ho4 Hg12 Pb4'
_cell_length_a 5.516
_cell_length_b 7.969
_cell_length_c 13.130
_cell_angle_alpha 90.00
_cell_angle_beta 90.00
_cell_angle_gamma 90.00
_space_group_name_H-M_alt 'I m m a'
_space_group_IT_number 74
_space_group_name_Hall '-I 2b 2'
loop_
_atom_site_label
_atom_site_type_symbol
_atom_site_fract_x
_atom_site_fract_y
_atom_site_fract_z
_atom_site_occupancy
Ho1 Ho 0.000 0.250 0.029 1
Hg1 Hg 0.000 0.069 0.825 1
Hg2 Hg 0.250 0.250 0.250 1
Pb1 Pb 0.000 0.000 0.500 1
# - formation energy (eV/atom) = -0.092
# - polymorph energy (0 for the lowest one) (meV/atom) = 78.0



# Ac7In2Ir2 (GGA-PBE, relaxed)
data_Ac7In2Ir2
_chemical_formula_sum 'Ac14 In4 Ir4'
_cell_length_a 4.397
_cell_length_b 17.101
_cell_length_c 10.434
_cell_angle_alpha 90.00
_cell_angle_beta 90.00
_cell_angle_gamma 90.00
_space_group_name_H-M_alt 'I m m 2'
_space_group_IT_number 44
loop_
_space_group_symop_operation_xyz
'x,y,z'
'-x,-y,z'
'-x,y,z'
'x,-y,z'
'x+1/2,y+1/2,z+1/2'
'-x+1/2,-y+1/2,z+1/2'
'-x+1/2,y+1/2,z+1/2'
'x+1/2,-y+1/2,z+1/2'
loop_
_atom_site_label
_atom_site_type_symbol
_atom_site_fract_x
_atom_site_fract_y
_atom_site_fract_z
_atom_site_occupancy
Ac1 Ac 0.000 0.000 0.000 1
Ac2 Ac 0.000 0.100 0.618 1
Ac3 Ac 0.000 0.327 0.388 1
Ac4 Ac 0.000 0.386 0.795 1
In1 In 0.000 0.237 0.103 1
Ir1 Ir 0.000 0.000 0.359 1
Ir2 Ir 0.000 0.500 0.297 1
# - formation energy (eV/atom) = -0.387
# - polymorph energy (0 for the lowest one) (meV/atom) = 14.3



# SmThZr2 (GGA-PBE, relaxed)
data_SmThZr2
_chemical_formula_sum 'Sm3 Th3 Zr6'
_cell_length_a 3.3887
_cell_length_b 3.3887
_cell_length_c 33.1784
_cell_angle_alpha 90.00
_cell_angle_beta 90.00
_cell_angle_gamma 120.00
_space_group_name_H-M_alt 'R 3 m'
_space_group_IT_number 160
_space_group_name_Hall 'R 3 -2"'
loop_
_atom_site_label
_atom_site_type_symbol
_atom_site_fract_x
_atom_site_fract_y
_atom_site_fract_z
_atom_site_occupancy
Sm1 Sm 0.0000 0.0000 0.0000 1
Th1 Th 0.0000 0.0000 0.8330 1
Zr1 Zr 0.0000 0.0000 0.4171 1
Zr2 Zr 0.0000 0.0000 0.5821 1
# - formation energy (eV/atom) = 0.155
# - polymorph energy (0 for the lowest one) (meV/atom) = 26.9



# FeMoPt2 (GGA-PBE, relaxed)
data_FeMoPt2
_chemical_formula_sum 'Fe2 Mo2 Pt4'
_cell_length_a 3.885
_cell_length_b 3.885
_cell_length_c 7.761
_cell_angle_alpha 90.00
_cell_angle_beta 90.00
_cell_angle_gamma 90.00
_space_group_name_H-M_alt 'I -4 m 2'
_space_group_IT_number 119
_space_group_name_Hall 'I -4 -2'
loop_
_atom_site_label
_atom_site_type_symbol
_atom_site_fract_x
_atom_site_fract_y
_atom_site_fract_z
_atom_site_occupancy
Fe1 Fe 0.000 0.000 0.000 1
Mo1 Mo 0.000 0.500 0.250 1
Pt1 Pt 0.000 0.000 0.500 1
Pt2 Pt 0.000 0.500 0.750 1
# - formation energy (eV/atom) = -0.187



# CrSi2TcRh (GGA-PBE, relaxed)
data_CrSi2TcRh
_chemical_formula_sum 'Cr1 Si2 Tc1 Rh1'
_cell_length_a 4.330
_cell_length_b 4.330
_cell_length_c 4.352
_cell_angle_alpha 90.00
_cell_angle_beta 90.00
_cell_angle_gamma 90.00
_space_group_name_H-M_alt 'P 4/m m m'
_space_group_IT_number 123
_space_group_name_Hall '-P 4 2'
loop_
_atom_site_label
_atom_site_type_symbol
_atom_site_fract_x
_atom_site_fract_y
_atom_site_fract_z
_atom_site_occupancy
Cr1 Cr 0.000 0.000 0.000 1
Si1 Si 0.000 0.500 0.000 1
Tc1 Tc 0.000 0.000 0.500 1
Rh1 Rh 0.500 0.500 0.500 1
# - formation energy (no corrections) (eV per atom) = 0.842
# - polymorph energy (0 for the lowest one) (meV/atom) = 0.0